Arrangement w

This record from the Open Quantum Materials Database describes an optimized crystal structure of PtOF2. The functional is PBE.

Summary:
The calculation puts the total magnetization at 0.019 μB/f.u.

a b c (Å): 5.2491 5.2491 5.6450
angles (deg): 112.75 112.75 41.39
Closest atoms and distances in Å follow each position.
Fractional coordinates of all 8 atoms:
Pt 0.0433 0.0433 0.3190  2 O 1.87, 2 F 1.92-2.03
Pt 0.9567 0.9567 0.6810  2 O 1.87, 2 F 1.92-2.03
O 0.4800 0.4800 0.7203  2 Pt 1.87
O 0.5200 0.5200 0.2797  2 Pt 1.87
F 0.1370 0.1370 0.0291  2 Pt 2.03-2.18
F 0.2200 0.2200 0.6385  1 Pt 1.92
F 0.7800 0.7800 0.3615  1 Pt 1.92
F 0.8630 0.8630 0.9709  2 Pt 2.03-2.18



Arrangement x

This record from the Open Quantum Materials Database describes an optimized crystal structure of PtOF2. The functional is PBE.

Summary:
The calculation puts the total magnetization at 0.011 μB/f.u.

a b c (Å): 5.3227 5.3227 5.7262
angles (deg): 106.37 106.37 40.67
Closest atoms and distances in Å follow each position.
Fractional coordinates of all 8 atoms:
Pt 0.0081 0.0081 0.2534  2 O 1.85, 2 F 1.91
Pt 0.9919 0.9919 0.7466  2 O 1.85, 2 F 1.91
O 0.4906 0.4906 0.7444  2 Pt 1.85
O 0.5094 0.5094 0.2556  2 Pt 1.85
F 0.1924 0.1924 0.8488  1 Pt 1.91
F 0.2086 0.2086 0.3496  1 Pt 1.91
F 0.7914 0.7914 0.6504  1 Pt 1.91
F 0.8076 0.8076 0.1512  1 Pt 1.91



Relative to the most stable one, in kJ/mol of atoms, the structures come out at arrangement w 0.0; arrangement x 0.6.



Arrangement w

This record from the Open Quantum Materials Database describes an optimized crystal structure of ReO2F3. The functional is PBE.

Summary:
The calculation puts the total magnetization at 0.001 μB/f.u.

a b c (Å): 5.1000 4.6420 11.7918
angles (deg): 90.00 97.77 90.00
Closest atoms and distances in Å follow each position.
Fractional coordinates of all 24 atoms:
Re 0.1864 0.2164 0.3713  2 O 1.70, 2 F 1.85-1.87
Re 0.1864 0.2836 0.8713  2 O 1.70, 2 F 1.85-1.87
Re 0.8136 0.7164 0.1287  2 O 1.70, 2 F 1.85-1.87
Re 0.8136 0.7836 0.6287  2 O 1.70, 2 F 1.85-1.87
O 0.2487 0.0890 0.9944  1 Re 1.70
O 0.2487 0.4110 0.4944  1 Re 1.70
O 0.3546 0.5942 0.9044  1 Re 1.70
O 0.3546 0.9058 0.4044  1 Re 1.70
O 0.6454 0.0942 0.5956  1 Re 1.70
O 0.6454 0.4058 0.0956  1 Re 1.70
O 0.7513 0.5890 0.5056  1 Re 1.70
O 0.7513 0.9110 0.0056  1 Re 1.70
F 0.0509 0.0519 0.2067  2 Re 2.11
F 0.0509 0.4481 0.7067  2 Re 2.11
F 0.1475 0.5841 0.1055  1 Re 1.87
F 0.1475 0.9159 0.6055  1 Re 1.87
F 0.4303 0.1104 0.7906  1 Re 1.85
F 0.4303 0.3896 0.2906  1 Re 1.85
F 0.5697 0.6104 0.7094  1 Re 1.85
F 0.5697 0.8896 0.2094  1 Re 1.85
F 0.8525 0.0841 0.3945  1 Re 1.87
F 0.8525 0.4159 0.8945  1 Re 1.87
F 0.9491 0.5519 0.2933  2 Re 2.11
F 0.9491 0.9481 0.7933  2 Re 2.11



Arrangement x

This record from the Open Quantum Materials Database describes an optimized crystal structure of ReO2F3. The functional is PBE.

Summary:
The calculation puts the total magnetization at 0.000 μB/f.u.

a b c (Å): 7.1313 7.1313 12.8569
angles (deg): 90.00 90.00 83.15
Closest atoms and distances in Å follow each position.
Fractional coordinates of all 48 atoms:
Re 0.1792 0.8208 0.8145  2 O 1.70, 2 F 1.86-1.87
Re 0.2269 0.2269 0.5000  2 O 1.70, 2 F 1.86
Re 0.2731 0.2731 0.0000  2 O 1.70, 2 F 1.86
Re 0.3208 0.6792 0.3145  2 O 1.70, 2 F 1.86-1.87
Re 0.6792 0.3208 0.6855  2 O 1.70, 2 F 1.86-1.87
Re 0.7269 0.7269 0.0000  2 O 1.70, 2 F 1.86
Re 0.7731 0.7731 0.5000  2 O 1.70, 2 F 1.86
Re 0.8208 0.1792 0.1855  2 O 1.70, 2 F 1.86-1.87
O 0.0522 0.2030 0.4127  1 Re 1.70
O 0.1247 0.6270 0.7500  1 Re 1.70
O 0.1270 0.6247 0.2500  1 Re 1.70
O 0.2030 0.0522 0.5873  1 Re 1.70
O 0.2970 0.4478 0.0873  1 Re 1.70
O 0.3730 0.8753 0.7500  1 Re 1.70
O 0.3753 0.8730 0.2500  1 Re 1.70
O 0.4478 0.2970 0.9127  1 Re 1.70
O 0.5522 0.7030 0.0873  1 Re 1.70
O 0.6247 0.1270 0.7500  1 Re 1.70
O 0.6270 0.1247 0.2500  1 Re 1.70
O 0.7030 0.5522 0.9127  1 Re 1.70
O 0.7970 0.9478 0.4127  1 Re 1.70
O 0.8730 0.3753 0.7500  1 Re 1.70
O 0.8753 0.3730 0.2500  1 Re 1.70
O 0.9478 0.7970 0.5873  1 Re 1.70
F 0.0009 0.9991 0.2442  1 Re 1.86
F 0.0466 0.1924 0.0831  2 Re 2.07-2.09
F 0.0744 0.3938 0.9216  1 Re 1.86
F 0.1062 0.4256 0.5784  1 Re 1.86
F 0.1924 0.0466 0.9169  2 Re 2.07-2.09
F 0.1957 0.8043 0.4274  1 Re 1.87
F 0.3043 0.6957 0.9274  1 Re 1.87
F 0.3076 0.4534 0.4169  2 Re 2.07-2.09
F 0.3938 0.0744 0.0784  1 Re 1.86
F 0.4256 0.1062 0.4216  1 Re 1.86
F 0.4534 0.3076 0.5831  2 Re 2.07-2.09
F 0.4991 0.5009 0.7442  1 Re 1.86
F 0.5009 0.4991 0.2558  1 Re 1.86
F 0.5466 0.6924 0.4169  2 Re 2.07-2.09
F 0.5744 0.8938 0.5784  1 Re 1.86
F 0.6062 0.9256 0.9216  1 Re 1.86
F 0.6924 0.5466 0.5831  2 Re 2.07-2.09
F 0.6957 0.3043 0.0726  1 Re 1.87
F 0.8043 0.1957 0.5726  1 Re 1.87
F 0.8076 0.9534 0.0831  2 Re 2.07-2.09
F 0.8938 0.5744 0.4216  1 Re 1.86
F 0.9256 0.6062 0.0784  1 Re 1.86
F 0.9534 0.8076 0.9169  2 Re 2.07-2.09
F 0.9991 0.0009 0.7558  1 Re 1.86



Relative to the most stable one, in kJ/mol of atoms, the structures come out at arrangement w 3.6; arrangement x 0.0.



Arrangement w

This record from the Open Quantum Materials Database describes an optimized crystal structure of TaOF2. The functional is PBE.

Summary:
The calculation puts the total magnetization at 0.005 μB/f.u.

a b c (Å): 4.8975 7.1252 5.2433
angles (deg): 90.00 90.00 90.00
Closest atoms and distances in Å follow each position.
Fractional coordinates of all 16 atoms:
Ta 0.0305 0.1752 0.0000  3 F 1.89-2.10, 2 O 1.99-2.01
Ta 0.4695 0.1752 0.5000  3 F 1.89-2.10, 2 O 1.99-2.01
Ta 0.5305 0.8248 0.0000  3 F 1.89-2.10, 2 O 1.99-2.01
Ta 0.9695 0.8248 0.5000  3 F 1.89-2.10, 2 O 1.99-2.01
O 0.1037 0.0633 0.3403  3 Ta 1.99-2.13
O 0.3963 0.0633 0.8403  3 Ta 1.99-2.13
O 0.6037 0.9367 0.3403  3 Ta 1.99-2.13
O 0.8963 0.9367 0.8403  3 Ta 1.99-2.13
F 0.1980 0.7251 0.1882  2 Ta 2.03-2.10
F 0.2184 0.4036 0.9518  1 Ta 1.89
F 0.2816 0.4036 0.4518  1 Ta 1.89
F 0.3020 0.7251 0.6882  2 Ta 2.03-2.10
F 0.6980 0.2749 0.1882  2 Ta 2.03-2.10
F 0.7184 0.5964 0.9518  1 Ta 1.89
F 0.7816 0.5964 0.4518  1 Ta 1.89
F 0.8020 0.2749 0.6882  2 Ta 2.03-2.10



Arrangement x

This record from the Open Quantum Materials Database describes an optimized crystal structure of TaOF2. The functional is PBE.

Summary:
The calculation puts the total magnetization at 0.005 μB/f.u.

a b c (Å): 5.0043 5.0043 5.7399
angles (deg): 107.49 107.49 44.79
Closest atoms and distances in Å follow each position.
Fractional coordinates of all 8 atoms:
Ta 0.0007 0.0007 0.2676  2 O 1.91, 4 F 2.08-2.10
Ta 0.9993 0.9993 0.7324  2 O 1.91, 4 F 2.08-2.10
O 0.4977 0.4977 0.2526  2 Ta 1.91
O 0.5023 0.5023 0.7474  2 Ta 1.91
F 0.1631 0.1631 0.0843  2 Ta 2.09-2.10
F 0.1825 0.1825 0.5968  2 Ta 2.08
F 0.8175 0.8175 0.4032  2 Ta 2.08
F 0.8369 0.8369 0.9157  2 Ta 2.09-2.10



Relative to the most stable one, in kJ/mol of atoms, the structures come out at arrangement w 2.4; arrangement x 0.0.



Arrangement w

This record from the Open Quantum Materials Database describes an optimized crystal structure of TcOF2. The functional is PBE.

Summary:
The calculation puts the total magnetization at 0.000 μB/f.u.

a b c (Å): 4.7363 4.7363 7.3391
angles (deg): 113.19 113.19 38.39
Closest atoms and distances in Å follow each position.
Fractional coordinates of all 8 atoms:
Tc 0.0947 0.0947 0.1886  2 O 1.84, 1 F 1.91
Tc 0.9053 0.9053 0.8114  2 O 1.84, 1 F 1.91
O 0.4945 0.4945 0.7681  2 Tc 1.84
O 0.5055 0.5055 0.2319  2 Tc 1.84
F 0.2865 0.2865 0.8875  2 Tc 2.09
F 0.3111 0.3111 0.3994  1 Tc 1.91
F 0.6889 0.6889 0.6006  1 Tc 1.91
F 0.7135 0.7135 0.1125  2 Tc 2.09



Arrangement x

This record from the Open Quantum Materials Database describes an optimized crystal structure of TcOF2. The functional is PBE.

Summary:
The calculation puts the total magnetization at 2.011 μB/f.u.

a b c (Å): 11.9438 14.8904 3.0895
angles (deg): 90.00 90.00 90.00
Closest atoms and distances in Å follow each position.
Fractional coordinates of all 48 atoms:
Tc 0.0458 0.1824 0.0000  4 F 1.87-2.06, 2 O 1.97
Tc 0.1990 0.4216 0.0000  3 O 1.97-1.98, 3 F 1.99-2.04
Tc 0.2020 0.6049 0.5000  4 O 1.97-2.12, 4 F 2.17-2.18
Tc 0.2980 0.1049 0.5000  4 O 1.97-2.12, 4 F 2.17-2.18
Tc 0.3010 0.9216 0.0000  3 O 1.97-1.98, 3 F 1.99-2.04
Tc 0.4542 0.6824 0.0000  4 F 1.87-2.06, 2 O 1.97
Tc 0.5458 0.3176 0.0000  4 F 1.87-2.06, 2 O 1.97
Tc 0.6990 0.0784 0.0000  3 O 1.97-1.98, 3 F 1.99-2.04
Tc 0.7020 0.8951 0.5000  4 O 1.97-2.12, 4 F 2.17-2.18
Tc 0.7980 0.3951 0.5000  4 O 1.97-2.12, 4 F 2.17-2.18
Tc 0.8010 0.5784 0.0000  3 O 1.97-1.98, 3 F 1.99-2.04
Tc 0.9542 0.8176 0.0000  4 F 1.87-2.06, 2 O 1.97
O 0.1231 0.4777 0.5000  3 Tc 1.98-2.12
O 0.1398 0.1490 0.5000  3 Tc 1.97-2.00
O 0.2324 0.0417 0.0000  3 Tc 1.97
O 0.2676 0.5417 0.0000  3 Tc 1.97
O 0.3602 0.6490 0.5000  3 Tc 1.97-2.00
O 0.3769 0.9777 0.5000  3 Tc 1.98-2.12
O 0.6231 0.0223 0.5000  3 Tc 1.98-2.12
O 0.6398 0.3510 0.5000  3 Tc 1.97-2.00
O 0.7324 0.4583 0.0000  3 Tc 1.97
O 0.7676 0.9583 0.0000  3 Tc 1.97
O 0.8602 0.8510 0.5000  3 Tc 1.97-2.00
O 0.8769 0.5223 0.5000  3 Tc 1.98-2.12
F 0.0405 0.9228 0.0000  1 Tc 1.87
F 0.0478 0.7657 0.5000  2 Tc 2.06
F 0.0726 0.6029 0.0000  2 Tc 2.18, 1 F 2.28
F 0.1099 0.3088 0.0000  2 Tc 1.99-2.03
F 0.2132 0.7070 0.0000  2 Tc 2.17, 1 F 2.28
F 0.2135 0.8661 0.5000  2 Tc 2.04
F 0.2868 0.2070 0.0000  2 Tc 2.17, 1 F 2.28
F 0.2865 0.3661 0.5000  2 Tc 2.04
F 0.3901 0.8088 0.0000  2 Tc 1.99-2.03
F 0.4274 0.1029 0.0000  2 Tc 2.18, 1 F 2.28
F 0.4522 0.2657 0.5000  2 Tc 2.06
F 0.4595 0.4228 0.0000  1 Tc 1.87
F 0.5405 0.5772 0.0000  1 Tc 1.87
F 0.5478 0.7343 0.5000  2 Tc 2.06
F 0.5726 0.8971 0.0000  2 Tc 2.18, 1 F 2.28
F 0.6099 0.1912 0.0000  2 Tc 1.99-2.03
F 0.7135 0.6339 0.5000  2 Tc 2.04
F 0.7132 0.7930 0.0000  2 Tc 2.17, 1 F 2.28
F 0.7865 0.1339 0.5000  2 Tc 2.04
F 0.7868 0.2930 0.0000  2 Tc 2.17, 1 F 2.28
F 0.8901 0.6912 0.0000  2 Tc 1.99-2.03
F 0.9274 0.3971 0.0000  2 Tc 2.18, 1 F 2.28
F 0.9522 0.2343 0.5000  2 Tc 2.06
F 0.9595 0.0772 0.0000  1 Tc 1.87



Relative to the most stable one, in kJ/mol of atoms, the structures come out at arrangement w 11.7; arrangement x 0.0.